{"formula": "AgGeNO", "functional": "PBE", "state": "relaxed", "e_tot_ev_per_cell": -88.18, "de_polymorph_ev_per_fu": 0.11, "sg": "Pca2_1", "lattice": [[-2.4181, 3.9881, 2.2013], [1.2181, -2.0991, 5.1410], [6.2549, 3.7626, 0.0543]], "species": ["Ag", "Ag", "Ag", "Ag", "O", "O", "O", "O", "N", "N", "N", "N", "Ge", "Ge", "Ge", "Ge"], "fractional_positions": [[0.0205, 0.5812, 0.3670], [0.5205, 0.9188, 0.3670], [0.5205, 0.4188, 0.6330], [0.0205, 0.0812, 0.6330], [0.5614, 0.5049, 0.3274], [0.5614, 0.0049, 0.6726], [0.0614, 0.4951, 0.6726], [0.0614, 0.9951, 0.3274], [0.1309, 0.3907, 0.0706], [0.6309, 0.1093, 0.0706], [0.1309, 0.8907, 0.9294], [0.6309, 0.6093, 0.9294], [0.9896, 0.5913, 0.8922], [0.4896, 0.4087, 0.1078], [0.4896, 0.9087, 0.8922], [0.9896, 0.0913, 0.1078]]}